(1)
# KSrRe PBE-GGA relaxed
# energy above the most stable polymorph in this dataset	0	meV/atom
data_KSrRe
_symmetry_space_group_name_H-M 'P 1'
_symmetry_Int_Tables_number 1
_cell_length_a 9.340
_cell_length_b 9.339
_cell_length_c 3.111
_cell_angle_alpha 80.42
_cell_angle_beta 80.40
_cell_angle_gamma 19.18
loop_
_symmetry_equiv_pos_as_xyz
'x,y,z'
loop_
_atom_site_label
_atom_site_type_symbol
_atom_site_fract_x
_atom_site_fract_y
_atom_site_fract_z
_atom_site_occupancy
K1 K 0.975 0.975 0.025 1
Re1 Re 0.325 0.325 0.675 1
Sr1 Sr 0.700 0.700 0.300 1



(2)
# K2SrRe PBE-GGA relaxed
# energy above the most stable polymorph in this dataset	250	meV/atom
data_K2SrRe
_symmetry_space_group_name_H-M 'P 1'
_symmetry_Int_Tables_number 1
_cell_length_a 7.239
_cell_length_b 7.239
_cell_length_c 7.239
_cell_angle_alpha 140.58
_cell_angle_beta 140.58
_cell_angle_gamma 56.98
loop_
_symmetry_equiv_pos_as_xyz
'x,y,z'
loop_
_atom_site_label
_atom_site_type_symbol
_atom_site_fract_x
_atom_site_fract_y
_atom_site_fract_z
_atom_site_occupancy
K1 K 0.000 0.000 0.000 1
K2 K 0.500 0.500 0.000 1
Re1 Re 0.250 0.750 0.500 1
Sr1 Sr 0.750 0.250 0.500 1



(3)
# KSrRe2 PBE-GGA relaxed
# energy above the most stable polymorph in this dataset	333	meV/atom
data_KSrRe2
_symmetry_space_group_name_H-M 'P 1'
_symmetry_Int_Tables_number 1
_cell_length_a 6.455
_cell_length_b 6.455
_cell_length_c 6.455
_cell_angle_alpha 146.82
_cell_angle_beta 127.84
_cell_angle_gamma 63.23
loop_
_symmetry_equiv_pos_as_xyz
'x,y,z'
loop_
_atom_site_label
_atom_site_type_symbol
_atom_site_fract_x
_atom_site_fract_y
_atom_site_fract_z
_atom_site_occupancy
K1 K 0.225 0.725 0.500 1
Re1 Re 0.947 0.947 0.000 1
Re2 Re 0.816 0.316 0.500 1
Sr1 Sr 0.512 0.512 0.000 1



(4)
# KSrRe2 PBE-GGA relaxed
# energy above the most stable polymorph in this dataset	754	meV/atom
data_KSrRe2
_symmetry_space_group_name_H-M 'P 1'
_symmetry_Int_Tables_number 1
_cell_length_a 2.764
_cell_length_b 2.764
_cell_length_c 11.265
_cell_angle_alpha 90.00
_cell_angle_beta 90.00
_cell_angle_gamma 101.34
loop_
_symmetry_equiv_pos_as_xyz
'x,y,z'
loop_
_atom_site_label
_atom_site_type_symbol
_atom_site_fract_x
_atom_site_fract_y
_atom_site_fract_z
_atom_site_occupancy
K1 K 0.500 0.500 0.750 1
Re1 Re 0.000 0.000 0.012 1
Re2 Re 0.000 0.000 0.488 1
Sr1 Sr 0.500 0.500 0.250 1



(5)
# KSrRe2 PBE-GGA relaxed
# energy above the most stable polymorph in this dataset	541	meV/atom
data_KSrRe2
_symmetry_space_group_name_H-M 'P 1'
_symmetry_Int_Tables_number 1
_cell_length_a 2.721
_cell_length_b 5.454
_cell_length_c 7.291
_cell_angle_alpha 90.00
_cell_angle_beta 90.00
_cell_angle_gamma 90.00
loop_
_symmetry_equiv_pos_as_xyz
'x,y,z'
loop_
_atom_site_label
_atom_site_type_symbol
_atom_site_fract_x
_atom_site_fract_y
_atom_site_fract_z
_atom_site_occupancy
K1 K 0.500 0.500 0.750 1
Re1 Re 0.000 0.000 0.089 1
Re2 Re 0.000 0.000 0.411 1
Sr1 Sr 0.500 0.500 0.250 1



(6)
# KSrRe2 PBE-GGA relaxed
# energy above the most stable polymorph in this dataset	949	meV/atom
data_KSrRe2
_symmetry_space_group_name_H-M 'P 1'
_symmetry_Int_Tables_number 1
_cell_length_a 4.938
_cell_length_b 4.938
_cell_length_c 4.938
_cell_angle_alpha 60.00
_cell_angle_beta 60.00
_cell_angle_gamma 60.00
loop_
_symmetry_equiv_pos_as_xyz
'x,y,z'
loop_
_atom_site_label
_atom_site_type_symbol
_atom_site_fract_x
_atom_site_fract_y
_atom_site_fract_z
_atom_site_occupancy
K1 K 0.500 0.500 0.500 1
Re1 Re 0.000 0.000 0.000 1
Re2 Re 0.250 0.250 0.250 1
Sr1 Sr 0.750 0.750 0.750 1



(7)
# K3SrRe PBE-GGA relaxed
# energy above the most stable polymorph in this dataset	484	meV/atom
data_K3SrRe
_symmetry_space_group_name_H-M 'P 1'
_symmetry_Int_Tables_number 1
_cell_length_a 7.814
_cell_length_b 7.814
_cell_length_c 7.814
_cell_angle_alpha 90.00
_cell_angle_beta 90.00
_cell_angle_gamma 90.00
loop_
_symmetry_equiv_pos_as_xyz
'x,y,z'
loop_
_atom_site_label
_atom_site_type_symbol
_atom_site_fract_x
_atom_site_fract_y
_atom_site_fract_z
_atom_site_occupancy
Re1 Re 0.500 0.500 0.500 1
K1 K 0.000 0.500 0.000 1
K2 K 0.000 0.000 0.500 1
K3 K 0.500 0.000 0.000 1
Sr1 Sr 0.000 0.000 0.000 1



(8)
An optimized crystal structure of K4SrRe. Source: the Alexandria database, functional PBE-GGA.

```
data_K4SrRe
_symmetry_space_group_name_H-M 'P 1'
_symmetry_Int_Tables_number 1
_cell_length_a 7.466
_cell_length_b 7.466
_cell_length_c 7.466
_cell_angle_alpha 60.00
_cell_angle_beta 60.00
_cell_angle_gamma 60.00
loop_
_symmetry_equiv_pos_as_xyz
'x,y,z'
loop_
_atom_site_label
_atom_site_type_symbol
_atom_site_fract_x
_atom_site_fract_y
_atom_site_fract_z
_atom_site_occupancy
K1 K 0.870 0.377 0.377 1
K2 K 0.377 0.377 0.870 1
K3 K 0.377 0.870 0.377 1
K4 K 0.377 0.377 0.377 1
Sr1 Sr 0.000 0.000 0.000 1
Re1 Re 0.750 0.750 0.750 1
```



Number 1: VASP energy -3.748 eV/atom, calculated formation energy 1328 meV per atom. Number 2: VASP energy -2.728 eV/atom, calculated formation energy 1353 meV per atom. Number 3: VASP energy -5.954 eV/atom, calculated formation energy 964 meV per atom. Number 4: VASP energy -5.533 eV/atom, calculated formation energy 1386 meV per atom. Number 5: VASP energy -5.747 eV/atom, calculated formation energy 1172 meV per atom. Number 6: VASP energy -5.338 eV/atom, calculated formation energy 1580 meV per atom. Number 7: VASP energy -1.626 eV/atom, calculated formation energy 1858 meV per atom. Number 8: VASP energy -1.880 eV/atom, calculated formation energy 1206 meV per atom.